This record from OQMD via LeMat-Bulk describes crystalline DyHoCo2B2O2 at its relaxed geometry. The functional is PBE with a Hubbard U.

Its total magnetization is 0.02 μB per formula unit. The calculation puts the electronic total energy at -6.67 eV/atom. The space group is P4mm, No. 99.

```
8
Lattice="3.4783 0.0000 0.0000 0.0000 3.4783 0.0000 0.0000 0.0000 7.3170" Properties=species:S:1:pos:R:3 pbc="T T T"
Co 0.0000 1.7391 3.6543
Co 1.7391 0.0000 3.6543
O 1.7391 1.7391 6.3387
O 0.0000 0.0000 0.9951
B 0.0000 0.0000 2.6454
B 1.7391 1.7391 4.6557
Dy 0.0000 0.0000 5.9141
Ho 1.7391 1.7391 1.4104
```